[1]
A plane-wave DFT calculation with PBE-GGA was carried out for a relaxed YHoTlAg crystal.

E_form (meV/atom): -352.6

Structure (CIF):
```
data_YHoTlAg
_cell_length_a 7.4341
_cell_length_b 7.4341
_cell_length_c 7.4341
_cell_angle_alpha 90.00
_cell_angle_beta 90.00
_cell_angle_gamma 90.00
_symmetry_space_group_name_H-M 'F -4 3 m'
_symmetry_Int_Tables_number 216
_symmetry_space_group_name_Hall 'F -4 2 3'
loop_
_atom_site_label
_atom_site_type_symbol
_atom_site_fract_x
_atom_site_fract_y
_atom_site_fract_z
Y1 Y 0.0000 0.0000 0.0000
Ho1 Ho 0.0000 0.0000 0.5000
Tl1 Tl 0.2500 0.2500 0.2500
Ag1 Ag 0.2500 0.2500 0.7500
```

***

[2]
A plane-wave DFT calculation with PBE-GGA was carried out for a relaxed HoTlZnAg crystal.

E_form (meV/atom): -184.1

Structure (CIF):
```
data_HoTlZnAg
_cell_length_a 7.0164
_cell_length_b 7.0164
_cell_length_c 7.0164
_cell_angle_alpha 90.00
_cell_angle_beta 90.00
_cell_angle_gamma 90.00
_symmetry_space_group_name_H-M 'F -4 3 m'
_symmetry_Int_Tables_number 216
_symmetry_space_group_name_Hall 'F -4 2 3'
loop_
_atom_site_label
_atom_site_type_symbol
_atom_site_fract_x
_atom_site_fract_y
_atom_site_fract_z
Ho1 Ho 0.0000 0.0000 0.0000
Tl1 Tl 0.0000 0.0000 0.5000
Zn1 Zn 0.2500 0.2500 0.7500
Ag1 Ag 0.2500 0.2500 0.2500
```

***

[3]
A plane-wave DFT calculation with PBE-GGA was carried out for a relaxed HoTmAg crystal.

Energy above the lowest structure with this stoichiometry (meV/atom): 0
E_form (meV/atom): -180.5

Structure (CIF):
```
data_HoTmAg
_cell_length_a 3.5580
_cell_length_b 3.5580
_cell_length_c 12.4102
_cell_angle_alpha 90.00
_cell_angle_beta 90.00
_cell_angle_gamma 90.00
_symmetry_space_group_name_H-M 'I 4 m m'
_symmetry_Int_Tables_number 107
_symmetry_space_group_name_Hall 'I 4 -2'
loop_
_atom_site_label
_atom_site_type_symbol
_atom_site_fract_x
_atom_site_fract_y
_atom_site_fract_z
Ho1 Ho 0.0000 0.0000 0.0000
Tm1 Tm 0.0000 0.0000 0.7013
Ag1 Ag 0.0000 0.0000 0.3473
```

***

[4]
A plane-wave DFT calculation with PBE-GGA was carried out for a relaxed HoTm2Ag crystal.

Energy above the lowest structure with this stoichiometry (meV/atom): 89
E_form (meV/atom): -49.0

Structure (CIF):
```
data_HoTm2Ag
_cell_length_a 10.9980
_cell_length_b 6.1801
_cell_length_c 6.3952
_cell_angle_alpha 90.00
_cell_angle_beta 96.29
_cell_angle_gamma 90.00
_symmetry_space_group_name_H-M 'C 1 2/c 1'
_symmetry_Int_Tables_number 15
_symmetry_space_group_name_Hall '-C 2yc'
loop_
_atom_site_label
_atom_site_type_symbol
_atom_site_fract_x
_atom_site_fract_y
_atom_site_fract_z
Ho1 Ho 0.0000 0.1759 0.2500
Tm1 Tm 0.2205 0.4995 0.0803
Ag1 Ag 0.0000 0.3043 0.7500
```